The following is a PBE calculation of a relaxed DyTh2Ga3Pt4 crystal, from Alexandria.

Summary:
density = 12.92 g/cm3
E = -62.21 eV per cell
M_tot = 0.0 μB per cell
calculated formation energy = -0.952 eV/atom
symmetry = No. 115

a = 4.2664 Å, b = 4.2664 Å, c = 11.4079 Å
α = 90.00°, β = 90.00°, γ = 90.00°
Positions (direct):
Dy  0.5000  0.5000  0.5000
Th  0.5000  0.0000  0.2233
Th  0.0000  0.5000  0.7767
Ga  0.0000  0.0000  0.5000
Ga  0.5000  0.0000  0.8775
Ga  0.0000  0.5000  0.1225
Pt  0.5000  0.5000  0.0000
Pt  0.0000  0.0000  0.0000
Pt  0.5000  0.0000  0.6591
Pt  0.0000  0.5000  0.3409